Record 1
LiMg2Zn (GGA-PBE, relaxed); VASP energy = -1.653 eV/atom; total magnetization = 0.00 μB per formula unit; symmetry = F-43m; ΔE_f = -1.35 kcal/mol of atoms
1.0
0.000 3.341 3.341
3.341 0.000 3.341
3.341 3.341 0.000
Li Mg Zn
1 2 1
direct
0.000 0.000 0.000
0.500 0.500 0.500
0.750 0.750 0.750
0.250 0.250 0.250

---

Record 2
Nd3Sm6Sn (GGA-PBE, relaxed); VASP energy = -4.745 eV/atom; total magnetization = 0.00 μB per formula unit; symmetry = Cmc2_1; ΔE_f = -1.92 kcal/mol of atoms
1.0
5.519 -9.659 0.000
5.519 9.659 0.000
0.000 0.000 6.276
Nd Sm Sn
6 12 2
direct
0.110 0.890 0.500
0.227 0.450 0.860
0.450 0.227 0.360
0.550 0.773 0.860
0.773 0.550 0.360
0.890 0.110 0.000
0.048 0.459 0.302
0.119 0.210 0.469
0.210 0.119 0.969
0.220 0.780 0.078
0.435 0.565 0.358
0.459 0.048 0.802
0.541 0.952 0.302
0.565 0.435 0.858
0.780 0.220 0.578
0.790 0.881 0.469
0.881 0.790 0.969
0.952 0.541 0.802
0.276 0.724 0.588
0.724 0.276 0.088

---

Record 3
LaPm2ClO4 (GGA-PBE, relaxed); ΔE_f (raw) = -3.187 eV/atom; VASP energy = -7.700 eV/atom; total magnetization = 0.00 μB per formula unit; symmetry = P4/mmm
1.0
4.047 0.000 0.000
0.000 4.047 0.000
0.000 0.000 9.374
La Pm Cl O
1 2 1 4
direct
0.000 0.000 0.000
0.500 0.500 0.265
0.500 0.500 0.735
0.000 0.000 0.500
0.000 0.500 0.160
0.000 0.500 0.840
0.500 0.000 0.160
0.500 0.000 0.840